1.
MnZn2P | the Alexandria database | PBE | relaxed; mass density = 6.14 g/cm³; E = -4.047 eV/atom; energy of formation from the pure elements = 5.423 kcal/mol of atoms
1.0
0.000 3.083 3.083
3.083 0.000 3.083
3.083 3.083 0.000
Mn Zn P
1 2 1
Direct
0.000 0.000 0.000
0.250 0.250 0.250
0.500 0.500 0.500
0.750 0.750 0.750

---

2.
NaTbBr3 | the Alexandria database | PBE | relaxed; mass density = 3.87 g/cm³; formation energy (no corrections) = -1.4350 eV/atom; E = -3.629 eV/atom
1.0
6.831 -3.940 0.000
6.831 3.940 0.000
-0.002 0.000 6.715
Na Tb Br
2 2 6
Direct
0.167 0.167 0.250
0.833 0.833 0.750
0.500 0.500 0.000
0.500 0.500 0.500
0.158 0.671 0.250
0.329 0.329 0.750
0.329 0.842 0.750
0.671 0.158 0.250
0.671 0.671 0.250
0.842 0.329 0.750

---

3.
Ca7Ac2Pr2 | the Alexandria database | PBE | relaxed; mass density = 3.63 g/cm³; E = -2.790 eV/atom; energy of formation from the pure elements = 2.293 kcal/mol of atoms
1.0
3.786 -5.706 0.000
3.786 5.706 0.000
-0.101 0.000 10.763
Ca Ac Pr
7 2 2
Direct
0.000 0.000 0.000
0.160 0.564 0.153
0.288 0.288 0.714
0.436 0.840 0.847
0.564 0.160 0.153
0.712 0.712 0.286
0.840 0.436 0.847
0.274 0.726 0.500
0.726 0.274 0.500
0.174 0.174 0.378
0.826 0.826 0.622

---

4.
SO2F2 | the Alexandria database | PBE | relaxed; mass density = 3.07 g/cm³; formation energy (no corrections) = 1.0375 eV/atom; E = -2.520 eV/atom
1.0
3.852 0.000 0.000
0.000 3.852 0.000
0.000 0.000 3.720
S O F
1 2 2
Direct
0.000 0.000 0.000
0.500 0.500 0.000
0.500 0.500 0.500
0.000 0.500 0.500
0.500 0.000 0.500